Rb7Mg after structural relaxation, computed with PBEsol.

```
data_Rb7Mg
_space_group_name_H-M_alt 'F m -3 m'
_space_group_IT_number 225
_space_group_name_Hall '-F 4 2 3'
_cell_length_a 13.315
_cell_length_b 13.315
_cell_length_c 13.315
_cell_angle_alpha 90.00
_cell_angle_beta 90.00
_cell_angle_gamma 90.00
loop_
_atom_site_label
_atom_site_type_symbol
_atom_site_fract_x
_atom_site_fract_y
_atom_site_fract_z
_atom_site_occupancy
Rb1 Rb 0.000 0.000 0.000 1
Rb2 Rb 0.000 0.250 0.250 1
Mg1 Mg 0.000 0.000 0.500 1
```

As for the density of states at the Fermi level: 7.16 states/eV/f.u. The value obtained for the total DFT energy (no corrections) is -31.8 eV for the cell shown. Its formation energy from the elements is 0.118 eV/atom.